! PBE-GGA NaCu2Se2, relaxed; values from VASP
! Crystal system: tetragonal
! Formation energy without anion corrections: -249 meV per atom
! Uncorrected energy: -17.72 eV per cell
&SYSTEM
  ibrav = 0, nat = 5, ntyp = 3
/
ATOMIC_SPECIES
Cu 63.55 Cu.upf
Na 22.99 Na.upf
Se 78.96 Se.upf
CELL_PARAMETERS angstrom
-1.0852 -4.2300 -2.1084
2.2279 -2.3657 3.5994
-3.2257 -3.4464 2.9980
ATOMIC_POSITIONS angstrom
Cu -1.3141 -6.6918 2.9485
Cu -0.7688 -3.3503 1.5405
Na 0.0000 0.0000 0.0000
Se -0.2132 -4.5550 3.6715
Se -1.8698 -5.4871 0.8176



! PBE-GGA Na4CuSe2, relaxed; values from VASP
! Crystal system: trigonal
! Formation energy without anion corrections: -662 meV per atom
! Uncorrected energy: -20.97 eV per cell
&SYSTEM
  ibrav = 0, nat = 7, ntyp = 3
/
ATOMIC_SPECIES
Na 22.99 Na.upf
Se 78.96 Se.upf
Cu 63.55 Cu.upf
CELL_PARAMETERS angstrom
4.9422 0.0000 0.0000
2.4711 4.2801 0.0000
2.4711 1.4267 8.5916
ATOMIC_POSITIONS angstrom
Na 7.4133 4.2801 5.3898
Na 2.4711 1.4267 3.2018
Na 4.9422 2.8534 1.2518
Na 4.9422 2.8534 7.3398
Se 7.4133 4.2801 2.3555
Se 2.4711 1.4267 6.2362
Cu 0.0000 0.0000 0.0000



! PBE-GGA Na3Cu6Se5, relaxed; values from VASP
! Crystal system: orthorhombic
! Formation energy without anion corrections: -419 meV per atom
! Uncorrected energy: -103.63 eV per cell
&SYSTEM
  ibrav = 0, nat = 28, ntyp = 3
/
ATOMIC_SPECIES
Se 78.96 Se.upf
Na 22.99 Na.upf
Cu 63.55 Cu.upf
CELL_PARAMETERS angstrom
3.9719 0.0000 0.0000
0.0000 10.4448 0.0000
0.0000 0.0000 12.4304
ATOMIC_POSITIONS angstrom
Se 1.9860 1.5772 2.1379
Se 1.9860 1.3535 6.2152
Se 1.9860 1.5772 10.2925
Se 0.0000 9.0914 0.0000
Se 0.0000 8.8676 4.0773
Se 0.0000 8.8676 8.3531
Se 0.0000 5.3674 10.7955
Se 1.9860 5.0775 7.8501
Se 0.0000 5.3674 1.6349
Se 1.9860 5.0775 4.5803
Na 0.0000 2.6209 0.0000
Na 1.9860 7.8240 6.2152
Na 1.9860 7.8681 1.9371
Na 0.0000 2.5767 8.1523
Na 1.9860 7.8681 10.4933
Na 0.0000 2.5767 4.2781
Cu 1.9860 4.0061 10.1322
Cu 0.0000 0.0703 10.3837
Cu 0.0000 6.4387 8.5134
Cu 1.9860 10.3746 4.1685
Cu 0.0000 6.4387 3.9170
Cu 0.0000 10.3183 6.2152
Cu 1.9860 4.0061 2.2982
Cu 1.9860 5.2203 0.0000
Cu 0.0000 0.0703 2.0467
Cu 1.9860 10.3746 8.2619
Cu 0.0000 5.2245 6.2152
Cu 1.9860 0.1265 0.0000



! PBE-GGA Na3CuSe3, relaxed; values from VASP
! Crystal system: monoclinic
! Formation energy without anion corrections: -654 meV per atom
! Uncorrected energy: -46.17 eV per cell
&SYSTEM
  ibrav = 0, nat = 14, ntyp = 3
/
ATOMIC_SPECIES
Cu 63.55 Cu.upf
Se 78.96 Se.upf
Na 22.99 Na.upf
CELL_PARAMETERS angstrom
7.8141 -0.0094 -0.5142
-3.4896 6.9916 -0.5142
-1.1062 -1.7860 6.7078
ATOMIC_POSITIONS angstrom
Cu 0.6636 1.0714 1.1477
Cu 2.5547 4.1249 4.5317
Se 0.1510 4.1545 3.9952
Se 3.6522 1.9861 3.9952
Se -0.4338 3.2102 1.6842
Se 3.6689 5.9238 0.2738
Se 3.0673 1.0418 1.6842
Se -0.4506 -0.7275 5.4056
Na 2.3251 3.7541 1.4312
Na 5.4977 1.4253 -0.5142
Na 5.5895 0.1329 2.8397
Na -2.3712 5.0634 2.8397
Na 0.8932 1.4421 4.2482
Na -1.1732 5.5570 -0.5142



! PBE-GGA NaCu2Se2, relaxed; values from VASP
! Crystal system: tetragonal
! Formation energy without anion corrections: -146 meV per atom
! Uncorrected energy: -34.42 eV per cell
&SYSTEM
  ibrav = 0, nat = 10, ntyp = 3
/
ATOMIC_SPECIES
Se 78.96 Se.upf
Cu 63.55 Cu.upf
Na 22.99 Na.upf
CELL_PARAMETERS angstrom
7.5046 0.0000 0.0000
0.0000 7.5046 0.0000
0.0000 0.0000 3.2259
ATOMIC_POSITIONS angstrom
Se 2.4665 6.2188 0.0000
Se 6.2188 5.0381 0.0000
Se 1.2858 2.4665 0.0000
Se 5.0381 1.2858 0.0000
Cu 6.5794 2.8271 1.6129
Cu 2.8271 0.9252 1.6129
Cu 4.6775 6.5794 1.6129
Cu 0.9252 4.6775 1.6129
Na 3.7523 3.7523 0.0000
Na 0.0000 0.0000 0.0000



! PBE-GGA NaCuSe, relaxed; values from VASP
! Crystal system: monoclinic
! Formation energy without anion corrections: -549 meV per atom
! Uncorrected energy: -42.18 eV per cell
&SYSTEM
  ibrav = 0, nat = 12, ntyp = 3
/
ATOMIC_SPECIES
Na 22.99 Na.upf
Cu 63.55 Cu.upf
Se 78.96 Se.upf
CELL_PARAMETERS angstrom
6.5454 -0.5378 -0.0381
-0.7368 6.5260 0.0381
-2.9298 -2.9694 6.3316
ATOMIC_POSITIONS angstrom
Na 3.4218 2.7127 4.4257
Na 0.3055 3.2154 5.0739
Na -0.0586 2.7420 1.2789
Na 0.0808 -0.6845 1.8890
Cu 3.2153 -0.4127 4.4281
Cu -0.6557 -0.0690 5.1948
Cu 3.0590 3.0434 1.2814
Cu 3.3344 0.3762 2.0099
Se 1.9256 0.9918 0.2399
Se 1.7754 0.7870 5.9471
Se 1.8161 4.4462 2.8003
Se -1.3139 1.3205 3.4248